(1)
4
Lattice="2.054 -2.674 0.000 2.054 2.674 0.000 0.000 0.000 7.370" Properties=species:S:1:pos:R:3 comment="Sc2AsCl GGA-PBE relaxed" raw_formation_energy_ev_per_fu=-3.99 crystal_system=orthorhombic sg="Cmmm, No. 65" n_ef_per_ev_cell=3.2 pbc="T T T"
Sc 0.000 0.000 1.652
Sc 0.000 0.000 5.718
As 2.054 0.000 0.000
Cl 2.054 0.000 3.685

(2)
4
Lattice="3.588 0.000 0.000 0.000 3.588 0.000 0.000 0.000 7.689" Properties=species:S:1:pos:R:3 comment="Dy2ScPd GGA-PBE relaxed" polymorph_energy_ev_per_atom=0.000 crystal_system=tetragonal sg="P4/mmm, No. 123" n_ef_per_ev_cell=4.7 pbc="T T T"
Dy 0.000 0.000 1.669
Dy 0.000 0.000 6.019
Sc 1.794 1.794 3.844
Pd 1.794 1.794 0.000

(3)
5
Lattice="-2.053 2.053 5.095 2.053 -2.053 5.095 2.053 2.053 -5.095" Properties=species:S:1:pos:R:3 comment="NdSi2Rh2 GGA-PBE relaxed" raw_formation_energy_ev_per_fu=-5.45 crystal_system=tetragonal sg="I4/mmm, No. 139" n_ef_per_ev_cell=3.0 pbc="T T T"
Nd 0.000 0.000 0.000
Si 0.000 0.000 3.828
Si 0.000 0.000 6.362
Rh 2.053 0.000 2.547
Rh 0.000 2.053 2.547

(4)
4
Lattice="4.122 0.000 0.000 0.000 5.062 0.000 0.000 0.000 5.516" Properties=species:S:1:pos:R:3 comment="KTe2Se GGA-PBE relaxed" raw_formation_energy_ev_per_fu=-0.71 crystal_system=orthorhombic sg="Pmmm, No. 47" n_ef_per_ev_cell=3.3 pbc="T T T"
K 0.000 0.000 0.000
Te 0.000 2.531 2.758
Te 2.061 0.000 2.758
Se 2.061 2.531 0.000

(5)
19
Lattice="6.045 3.490 5.272 -6.045 3.490 5.272 0.000 -6.980 5.272" Properties=species:S:1:pos:R:3 comment="NaCa12Mg6 GGA-PBE relaxed" crystal_system=trigonal sg="R-3, No. 148" n_ef_per_ev_cell=19.6 pbc="T T T"
Na 0.000 0.000 0.000
Ca -0.834 -1.997 2.901
Ca -1.312 1.720 2.901
Ca -1.603 -1.659 6.497
Ca 2.146 0.276 2.901
Ca -2.238 0.559 9.318
Ca -0.635 2.218 6.497
Ca 0.635 -2.218 9.318
Ca 2.238 -0.559 6.497
Ca -2.146 -0.276 12.915
Ca 1.603 1.659 9.318
Ca 1.312 -1.720 12.915
Ca 0.834 1.997 12.915
Mg -3.812 1.107 5.800
Mg 0.947 -3.855 5.800
Mg -2.864 -2.748 10.016
Mg 2.864 2.748 5.800
Mg -0.947 3.855 10.016
Mg 3.812 -1.107 10.016

(6)
18
Lattice="5.525 0.000 0.000 -2.762 4.785 0.000 0.000 0.000 9.806" Properties=species:S:1:pos:R:3 comment="MgHgPdF6 GGA-PBE relaxed" raw_formation_energy_ev_per_fu=-17.96 crystal_system=trigonal sg="P-31c, No. 163" pbc="T T T"
Mg 0.000 3.190 2.452
Mg 2.762 1.595 7.355
Hg 0.000 0.000 0.000
Hg 0.000 0.000 4.903
Pd 0.000 3.190 7.355
Pd 2.762 1.595 2.452
F -0.869 1.740 1.342
F -1.690 3.162 3.561
F 0.869 1.740 3.561
F -0.821 4.667 1.342
F 1.941 0.117 6.245
F 1.072 1.623 8.464
F 1.690 3.162 1.342
F 0.821 4.667 3.561
F 3.584 0.117 8.464
F 1.893 3.045 6.245
F 4.453 1.623 6.245
F 3.632 3.045 8.464

Short version: total magnetic moment = 0.4, 0.0, 0.0, 0.0, 0.0, 4.0 μB per cell, in the order given.
Short version: total energy = -23.15, -22.32, -35.76, -11.58, -34.64, -36.28 eV per formula unit, in the order given.